# 1
## Nd3Pd8Au (PBE-GGA)

Data for a relaxed structure of Nd3Pd8Au.

a = 5.4598 Å, b = 5.4598 Å, c = 26.9339 Å
α = 90.00°, β = 90.00°, γ = 120.00°
Space group R3m (No. 160, hexagonal axes)
One atom of each set of equivalent atoms:
Nd: 0.0000 0.0000 0.0000 (multiplicity 3)
Nd: 0.0000 0.0000 0.1314 (multiplicity 3)
Nd: 0.0000 0.0000 0.5223 (multiplicity 3)
Pd: 0.0000 0.0000 0.3214 (multiplicity 3)
Pd: 0.0000 0.0000 0.8215 (multiplicity 3)
Pd: 0.0000 0.5000 0.0719 (multiplicity 9)
Pd: 0.1683 0.3366 0.9041 (multiplicity 9)
Au: 0.0000 0.0000 0.6404 (multiplicity 3)

Summary:
DFT total energy   -67.69 eV per formula unit
ρ   10.611 g/cm3

=====

# 2
## Nd12Pd6Au (PBE-GGA)

Data for a relaxed structure of Nd12Pd6Au.

a = 13.1745 Å, b = 13.1745 Å, c = 11.9865 Å
α = 90.00°, β = 90.00°, γ = 120.00°
Space group R-3 (No. 148, hexagonal axes)
One atom of each set of equivalent atoms:
Nd: 0.0272 0.2118 0.3902 (multiplicity 18)
Nd: 0.0374 0.2117 0.8845 (multiplicity 18)
Pd: 0.0427 0.2613 0.6458 (multiplicity 18)
Au: 0.0000 0.0000 0.0000 (multiplicity 3)

Summary:
DFT total energy   -99.88 eV per formula unit
ρ   7.096 g/cm3